Density functional theory data (GGA-PBE) for a geometry-optimized HoPH structure.

Cell lengths 7.772, 5.123, 5.594 Å; angles 90.00, 91.81, 90.00 degrees
Space group C2/m (No. 12)
Unique sites:
Ho  0.182  0.000  0.250 [4 per cell]
P  0.175  0.000  0.755 [4 per cell]
H  0.036  0.500  0.453 [4 per cell]

Properties
Raw total energy: -15.89 eV/f.u.

=====

Density functional theory data (GGA-PBE) for a geometry-optimized Ho2PH structure.

Cell lengths 3.8070, 3.8070, 20.3786 Å; angles 90.00, 90.00, 120.00 degrees
Space group R3m (No. 160, hexagonal axes)
Unique sites:
Ho  0.0000  0.0000  0.0000 [3 per cell]
Ho  0.0000  0.0000  0.1757 [3 per cell]
P  0.0000  0.0000  0.5923 [3 per cell]
H  0.0000  0.0000  0.8169 [3 per cell]

Properties
Raw total energy: -21.21 eV/f.u.